Record 1
{
  "formula": "TaTcRh2",
  "functional": "PBEsol",
  "state": "relaxed",
  "e_above_lowest_polymorph_mev_per_atom": 0,
  "ef_mev_per_atom": -410.6,
  "dos_ef_per_ev_atom": 0.70,
  "cell": [[3.859, 0.000, 0.000], [0.000, 3.859, 0.000], [0.000, 0.000, 3.864]],
  "species": ["Ta", "Tc", "Rh", "Rh"],
  "frac_coords": [[0.000, 0.000, 0.000], [0.500, 0.500, 0.000], [0.000, 0.500, 0.500], [0.500, 0.000, 0.500]]
}

Record 2
{
  "formula": "Cd5Au",
  "functional": "PBEsol",
  "state": "relaxed",
  "e_above_lowest_polymorph_mev_per_atom": 0,
  "ef_mev_per_atom": -80.6,
  "dos_ef_per_ev_atom": 0.22,
  "cell": [[5.342, 0.000, 0.000], [-2.671, 4.626, 0.000], [0.000, 0.000, 4.716]],
  "species": ["Cd", "Cd", "Cd", "Cd", "Cd", "Au"],
  "frac_coords": [[0.000, 0.674, 0.000], [0.326, 0.326, 0.000], [0.333, 0.667, 0.500], [0.667, 0.333, 0.500], [0.674, 0.000, 0.000], [0.000, 0.000, 0.500]]
}

Record 3
{
  "formula": "NaLaNb2O7",
  "functional": "PBEsol",
  "state": "relaxed",
  "e_form_raw_mev_per_atom": -2733,
  "cell": [[-1.952, 1.952, 10.670], [1.952, -1.952, 10.670], [1.952, 1.952, -10.670]],
  "species": ["Na", "La", "Nb", "Nb", "O", "O", "O", "O", "O", "O", "O"],
  "frac_coords": [[0.000, 0.000, 0.000], [0.750, 0.250, 0.500], [0.144, 0.644, 0.500], [0.356, 0.856, 0.500], [0.060, 0.560, 0.500], [0.164, 0.164, 0.000], [0.250, 0.750, 0.500], [0.334, 0.334, 0.000], [0.440, 0.940, 0.500], [0.666, 0.666, 0.000], [0.836, 0.836, 0.000]]
}

no.,raw total energy (eV/f.u.),ρ (g cm⁻³)
1,-41.74,14.0
2,-10.39,10.8
3,-95.20,4.7